Entry from the Alexandria database: a geometry-optimized BaMnO2F structure (PBE+U).

Cell and atoms, written as POSCAR:
```
BaMnO2F
1.0
3.982 0.000 0.000
0.000 3.982 0.000
0.000 0.000 4.388
Ba Mn O F
1 1 2 1
Direct
0.000 0.000 0.000
0.500 0.500 0.500
0.000 0.500 0.500
0.500 0.000 0.500
0.500 0.500 0.000
```

E_tot (eV per cell): -33.35
Space group: P4/mmm, No. 123